# 1
VASP calculation (PBE) on a relaxed structure of Li4Mg2Sn.

E	-16.178	eV/cell
D(E_F)	2.330	states/eV per cell
crystal system	orthorhombic
energy of formation	-0.19	eV/atom

Geometry as extended XYZ:
```
7
Lattice="-1.534 2.326 9.712 1.534 -2.326 9.712 1.534 2.326 -9.712" Properties=species:S:1:pos:R:3 pbc="T T T"
Li 0.000 0.000 1.276
Li 1.534 0.000 7.115
Li 0.000 2.326 2.597
Li 0.000 0.000 18.148
Mg 1.534 0.000 4.060
Mg 0.000 2.326 5.652
Sn 0.000 0.000 9.712
```



# 2
VASP calculation (PBE) on a relaxed structure of Ba2SbMoI.

E	-17.400	eV/cell
D(E_F)	3.009	states/eV per cell
formation energy from raw total energies	0.59	eV per atom
crystal system	tetragonal

Geometry as extended XYZ:
```
5
Lattice="6.718 0.000 0.000 0.000 6.718 0.000 0.000 0.000 6.095" Properties=species:S:1:pos:R:3 pbc="T T T"
Ba 0.000 3.359 0.000
Ba 3.359 0.000 0.000
Sb 0.000 0.000 0.000
Mo 3.359 3.359 3.047
I 0.000 0.000 3.047
```



# 3
VASP calculation (PBE) on a relaxed structure of CaDyZnIn.

E	-12.166	eV/cell
D(E_F)	2.484	states/eV per cell
crystal system	tetragonal
energy of formation	-0.39	eV/atom

Geometry as extended XYZ:
```
4
Lattice="3.666 0.000 0.000 0.000 3.666 0.000 0.000 0.000 7.637" Properties=species:S:1:pos:R:3 pbc="T T T"
Ca 0.000 0.000 0.000
Dy 0.000 0.000 4.085
Zn 1.833 1.833 5.745
In 1.833 1.833 2.091
```



# 4
VASP calculation (PBE) on a relaxed structure of Ho2NiRh.

E	-49.960	eV/cell
D(E_F)	5.181	states/eV per cell
crystal system	monoclinic
energy of formation	-0.67	eV/atom

Geometry as extended XYZ:
```
8
Lattice="5.579 0.000 0.000 0.000 4.099 0.000 -2.577 0.000 7.155" Properties=species:S:1:pos:R:3 pbc="T T T"
Ho 0.108 1.025 3.067
Ho -1.189 1.025 6.657
Ho 4.191 3.075 0.497
Ho 2.894 3.075 4.088
Ni 1.379 3.075 1.493
Ni 1.623 1.025 5.662
Rh 0.071 3.075 5.100
Rh 2.931 1.025 2.055
```